1.
The following is a DFT calculation (PBE) of an optimized crystal structure of Ti2Nb3In3.

Results
Total moment = 0.0000 μB/atom
Crystal system = orthorhombic
ρ = 7.8 Mg/m³
Final energy = -6.7640 eV/atom

Structure (CIF):
```
data_Ti2Nb3In3
_cell_length_a 4.901
_cell_length_b 4.902
_cell_length_c 6.347
_cell_angle_alpha 90.00
_cell_angle_beta 90.00
_cell_angle_gamma 90.00
_symmetry_space_group_name_H-M 'P m m m'
_symmetry_Int_Tables_number 47
_symmetry_space_group_name_Hall '-P 2 2'
loop_
_atom_site_label
_atom_site_type_symbol
_atom_site_fract_x
_atom_site_fract_y
_atom_site_fract_z
_atom_site_occupancy
Ti1 Ti 0.000 0.000 0.238 1
Nb1 Nb 0.000 0.500 0.000 1
Nb2 Nb 0.500 0.500 0.248 1
In1 In 0.000 0.500 0.500 1
In2 In 0.500 0.000 0.000 1
In3 In 0.500 0.000 0.500 1
```

=====

2.
The following is a DFT calculation (PBE) of an optimized crystal structure of Ta4Al.

Results
Total moment = 0.0000 μB/atom
Crystal system = tetragonal
ρ = 13.4 Mg/m³
Final energy = -9.9476 eV/atom

Structure (CIF):
```
data_Ta4Al
_cell_length_a 5.450
_cell_length_b 5.450
_cell_length_c 12.506
_cell_angle_alpha 90.00
_cell_angle_beta 90.00
_cell_angle_gamma 90.00
_symmetry_space_group_name_H-M 'I 41/a'
_symmetry_Int_Tables_number 88
loop_
_symmetry_equiv_pos_as_xyz
'x,y,z'
'-x,-y,-z'
'-y+3/4,x+1/4,z+1/4'
'y+3/4,-x+1/4,-z+1/4'
'-x+1/2,-y,z+1/2'
'x+1/2,y,-z+1/2'
'y+3/4,-x+3/4,z+3/4'
'-y+3/4,x+3/4,-z+3/4'
'x+1/2,y+1/2,z+1/2'
'-x+1/2,-y+1/2,-z+1/2'
'-y+1/4,x+3/4,z+3/4'
'y+1/4,-x+3/4,-z+3/4'
'-x,-y+1/2,z'
'x,y+1/2,-z'
'y+1/4,-x+1/4,z+1/4'
'-y+1/4,x+1/4,-z+1/4'
loop_
_atom_site_label
_atom_site_type_symbol
_atom_site_fract_x
_atom_site_fract_y
_atom_site_fract_z
_atom_site_occupancy
Ta1 Ta 0.123 0.009 0.200 1
Al1 Al 0.000 0.250 0.625 1
```